Entry from Alexandria: crystalline Pu5Ru3 at its relaxed geometry (GGA-PBE).

abc: 8.1618 8.1618 8.1618
angles: 97.36 97.36 138.07
Atoms (fractional coordinates):
Pu (0.0852, 0.7835, 0.8687)
Pu (0.2165, 0.0852, 0.3017)
Pu (0.2500, 0.7500, 0.5000)
Pu (0.2835, 0.5852, 0.8687)
Pu (0.4148, 0.2835, 0.6983)
Pu (0.5852, 0.7165, 0.3017)
Pu (0.7165, 0.4148, 0.1313)
Pu (0.7500, 0.2500, 0.5000)
Pu (0.7835, 0.9148, 0.6983)
Pu (0.9148, 0.2165, 0.1313)
Ru (0.1611, 0.3389, 0.5000)
Ru (0.2500, 0.2500, 0.0000)
Ru (0.3389, 0.8389, 0.1777)
Ru (0.6611, 0.1611, 0.8223)
Ru (0.7500, 0.7500, 0.0000)
Ru (0.8389, 0.6611, 0.5000)

Properties
Calculated formation energy: -101 meV per atom
Energy above the lowest structure with this stoichiometry: 0.000 eV/atom
Calculated total energy: -12.5372 eV per atom
Total magnetization: 50.500 μB/cell

***

Entry from Alexandria: crystalline Pu4Ru3 at its relaxed geometry (GGA-PBE).

abc: 7.2560 7.2560 7.2560
angles: 109.47 109.47 109.47
Atoms (fractional coordinates):
Pu (0.0000, 0.3640, 0.5000)
Pu (0.0000, 0.8640, 0.5000)
Pu (0.1360, 0.1360, 0.1360)
Pu (0.3640, 0.5000, 0.0000)
Pu (0.5000, 0.0000, 0.3640)
Pu (0.5000, 0.0000, 0.8640)
Pu (0.6360, 0.6360, 0.6360)
Pu (0.8640, 0.5000, 0.0000)
Ru (0.1250, 0.7500, 0.8750)
Ru (0.2500, 0.6250, 0.3750)
Ru (0.3750, 0.2500, 0.6250)
Ru (0.6250, 0.3750, 0.2500)
Ru (0.7500, 0.8750, 0.1250)
Ru (0.8750, 0.1250, 0.7500)

Properties
Calculated formation energy: -76 meV per atom
Energy above the lowest structure with this stoichiometry: 0.021 eV/atom
Calculated total energy: -12.2411 eV per atom
Total magnetization: 37.491 μB/cell

***

Entry from Alexandria: crystalline Pu5Ru6 at its relaxed geometry (GGA-PBE).

abc: 8.0736 8.0736 8.0736
angles: 149.12 125.85 63.64
Atoms (fractional coordinates):
Pu (0.0000, 0.0000, 0.0000)
Pu (0.1897, 0.6897, 0.5000)
Pu (0.3715, 0.3715, 0.0000)
Pu (0.6285, 0.6285, 0.0000)
Pu (0.8103, 0.3103, 0.5000)
Ru (0.0539, 0.8302, 0.2237)
Ru (0.2111, 0.5000, 0.7111)
Ru (0.3934, 0.1698, 0.2237)
Ru (0.6066, 0.8302, 0.7763)
Ru (0.7889, 0.5000, 0.2889)
Ru (0.9461, 0.1698, 0.7763)

Properties
Calculated formation energy: 87 meV per atom
Calculated total energy: -11.4870 eV per atom
Total magnetization: 2.240 μB/cell